# 1
First-principles (PBE) data for a relaxed Mg2TiAgH crystal, as listed in Alexandria.

```
5
Lattice="4.3894 0.0000 0.0000 0.0000 4.3894 0.0000 0.0000 0.0000 4.1117" Properties=species:S:1:pos:R:3 pbc="T T T"
Mg 0.0000 2.1947 0.0000
Mg 2.1947 0.0000 0.0000
Ti 0.0000 0.0000 2.0559
Ag 2.1947 2.1947 2.0559
H 2.1947 2.1947 0.0000
```

Computed properties:
Polymorph energy (0 for the lowest one) (eV per atom): 0.285
Space group: P4/mmm
V (Å³/cell): 79.2

# 2
First-principles (PBE) data for a relaxed LaRe4 crystal, as listed in Alexandria.

```
5
Lattice="-2.1755 2.1755 5.3174 2.1755 -2.1755 5.3174 2.1755 2.1755 -5.3174" Properties=species:S:1:pos:R:3 pbc="T T T"
La 0.0000 0.0000 0.0000
Re 2.1755 0.0000 2.6587
Re 0.0000 0.0000 3.9753
Re 0.0000 0.0000 6.6594
Re 0.0000 2.1755 2.6587
```

Computed properties:
Polymorph energy (0 for the lowest one) (eV per atom): 0.000
Space group: I4/mmm
V (Å³/cell): 100.7

# 3
First-principles (PBE) data for a relaxed ScMn crystal, as listed in Alexandria.

```
4
Lattice="1.9035 1.0990 5.7353 -1.9035 1.0990 5.7353 0.0000 -2.1980 5.7353" Properties=species:S:1:pos:R:3 pbc="T T T"
Sc 0.0000 0.0000 1.6717
Sc 0.0000 0.0000 15.5342
Mn 0.0000 0.0000 5.4886
Mn 0.0000 0.0000 11.7172
```

Computed properties:
Raw total energy (eV per atom): -7.73
Space group: R-3m
V (Å³/cell): 72.0

# 4
First-principles (PBE) data for a relaxed YErCl6 crystal, as listed in Alexandria.

```
8
Lattice="3.3544 1.9367 6.0792 -3.3544 1.9367 6.0792 0.0000 -3.8734 6.0792" Properties=species:S:1:pos:R:3 pbc="T T T"
Y 0.0000 0.0000 0.0000
Er 0.0000 0.0000 9.1188
Cl -0.9759 -1.9232 7.6083
Cl -2.1535 -0.1165 10.6292
Cl -1.1776 1.8067 7.6083
Cl 1.1776 -1.8067 10.6292
Cl 2.1535 0.1165 7.6084
Cl 0.9759 1.9232 10.6292
```

Computed properties:
Formation energy without anion corrections (eV per atom): -2.25
Space group: R-3
V (Å³/cell): 237.0

# 5
First-principles (PBE) data for a relaxed Sm7Ho2Er3 crystal, as listed in Alexandria.

```
12
Lattice="6.2382 0.0000 0.0000 0.0000 5.4890 0.0000 -0.0950 0.0000 12.1660" Properties=species:S:1:pos:R:3 pbc="T T T"
Sm 0.0000 0.0000 0.0000
Sm 0.5414 2.7445 2.0810
Sm 1.4682 2.7445 5.5317
Sm 2.7340 0.0000 2.2278
Sm 3.4092 0.0000 9.9382
Sm 4.6750 2.7445 6.6343
Sm 5.6018 2.7445 10.0850
Ho 2.3498 2.7445 8.7981
Ho 3.7934 2.7445 3.3679
Er 0.3336 0.0000 7.9940
Er 3.1191 2.7445 0.0000
Er 5.8096 0.0000 4.1720
```

Computed properties:
Polymorph energy (0 for the lowest one) (eV per atom): 0.179
Space group: P2/m
V (Å³/cell): 416.6

# 6
First-principles (PBE) data for a relaxed CsCd8In2 crystal, as listed in Alexandria.

```
11
Lattice="4.4356 0.0000 0.0000 0.0000 4.4356 0.0000 0.0000 0.0000 16.2290" Properties=species:S:1:pos:R:3 pbc="T T T"
Cs 0.0000 0.0000 0.0000
Cd 0.0000 2.2178 3.2776
Cd 0.0000 2.2178 8.1145
Cd 0.0000 2.2178 12.9515
Cd 2.2178 0.0000 3.2776
Cd 2.2178 0.0000 8.1145
Cd 2.2178 0.0000 12.9515
Cd 2.2178 2.2178 5.7578
Cd 2.2178 2.2178 10.4713
In 0.0000 0.0000 5.7552
In 0.0000 0.0000 10.4738
```

Computed properties:
Raw total energy (eV per atom): -1.23
Space group: P4/mmm
V (Å³/cell): 319.3

- What is the formula in the sixth record?
  CsCd8In2

- Which of these has the highest V?
  Sm7Ho2Er3

- Number 1 is which compound?
  Mg2TiAgH

- The lowest V belongs to which entry?
  ScMn